Ba3TlZn after structural relaxation, computed with GGA-PBE.

Lattice parameters (Å, degrees): 6.3611 6.3611 6.3611 90.00 90.00 90.00
Sites, in units of the cell vectors:
Ba 0.0000 0.0000 0.5000
Ba 0.0000 0.5000 0.0000
Ba 0.5000 0.0000 0.0000
Tl 0.5000 0.5000 0.5000
Zn 0.0000 0.0000 0.0000

Properties
**Theoretical density**: 4398 kg/m³
**Offset from the most stable computed form**: 296 meV per atom
**Spin magnetization**: 0.425 μB per atom